[1]
Density functional theory data (PBE) for a relaxed CrAgSn3 crystal.

The formation energy comes out at 0.360 eV/atom. For the energy above the most stable polymorph in this dataset, the calculation gives 0.000 eV per atom. The raw total energy is -22.684 eV/cell.

It has space group Pm-3m (No. 221), with a = 5.050 Å, b = 5.050 Å, c = 5.050 Å, α = 90.00°, β = 90.00° and γ = 90.00°. The asymmetric unit holds Cr at (0.000, 0.000, 0.000), Ag at (0.500, 0.500, 0.500) and Sn at (0.000, 0.000, 0.500).



[2]
Density functional theory data (PBE) for a relaxed Sm3H12Au5 crystal.

The raw total energy is -588.303 eV/cell.

It has space group Ia-3d (No. 230), with a = 12.393 Å, b = 12.393 Å, c = 12.393 Å, α = 90.00°, β = 90.00° and γ = 90.00°. The asymmetric unit holds Sm at (0.000, 0.250, 0.125), H at (0.027, 0.055, 0.652), Au at (0.000, 0.000, 0.000) and Au at (0.000, 0.250, 0.375).



[3]
Density functional theory data (PBE) for a relaxed Sm8Ga2Tc crystal.

The formation energy comes out at -0.191 eV/atom. For the energy above the most stable polymorph in this dataset, the calculation gives 0.000 eV per atom. The raw total energy is -112.537 eV/cell.

It has space group C2/m (No. 12), with a = 17.871 Å, b = 5.136 Å, c = 6.935 Å, α = 90.00°, β = 103.96° and γ = 90.00°. The asymmetric unit holds Sm at (0.022, 0.000, 0.283), Sm at (0.092, 0.500, 0.943), Sm at (0.156, 0.500, 0.457), Sm at (0.202, 0.000, 0.799), Ga at (0.189, 0.000, 0.225) and Tc at (0.000, 0.500, 0.500).



[4]
Density functional theory data (PBE) for a relaxed LiPaAu4 crystal.

The formation energy comes out at -0.235 eV/atom. For the energy above the most stable polymorph in this dataset, the calculation gives 0.149 eV per atom. The raw total energy is -25.931 eV/cell.

It has space group P4/mmm (No. 123), with a = 4.394 Å, b = 4.394 Å, c = 6.836 Å, α = 90.00°, β = 90.00° and γ = 90.00°. The asymmetric unit holds Li at (0.000, 0.000, 0.000), Pa at (0.500, 0.500, 0.500) and Au at (0.000, 0.500, 0.215).



[5]
Density functional theory data (PBE) for a relaxed Tl2AsOs2 crystal.

The formation energy comes out at 1.199 eV/atom. For the energy above the most stable polymorph in this dataset, the calculation gives 0.297 eV per atom. The raw total energy is -51.694 eV/cell.

It has space group P4/mbm (No. 127), with a = 8.607 Å, b = 8.607 Å, c = 2.873 Å, α = 90.00°, β = 90.00° and γ = 90.00°. The asymmetric unit holds Tl at (0.195, 0.305, 0.000), As at (0.000, 0.000, 0.000) and Os at (0.095, 0.595, 0.500).



[6]
Density functional theory data (PBE) for a relaxed NdTm4Pb5 crystal.

The formation energy comes out at -0.285 eV/atom. For the energy above the most stable polymorph in this dataset, the calculation gives 0.114 eV per atom. The raw total energy is -88.083 eV/cell.

It has space group I4/m (No. 87), with a = 9.929 Å, b = 9.929 Å, c = 6.285 Å, α = 90.00°, β = 90.00° and γ = 90.00°. The asymmetric unit holds Nd at (0.000, 0.000, 0.000), Tm at (0.105, 0.704, 0.500), Pb at (0.000, 0.000, 0.500) and Pb at (0.098, 0.691, 0.000).



[7]
Density functional theory data (PBE) for a relaxed YSiCl2 crystal.

For the energy above the most stable polymorph in this dataset, the calculation gives 0.576 eV per atom. The raw total energy is -34.921 eV/cell. As for the uncorrected formation energy: -0.47 eV per atom.

It has space group Cmmm (No. 65), with a = 6.181 Å, b = 8.532 Å, c = 3.302 Å, α = 90.00°, β = 90.00° and γ = 90.00°. The asymmetric unit holds Y at (0.000, 0.000, 0.000), Si at (0.000, 0.500, 0.000) and Cl at (0.250, 0.250, 0.500).



[8]
Density functional theory data (PBE) for a relaxed Nd3Si2S8Br crystal.

The raw total energy is -322.605 eV/cell. As for the uncorrected formation energy: -1.49 eV per atom.

It has space group C2/c (No. 15), with a = 15.771 Å, b = 7.753 Å, c = 10.994 Å, α = 90.00°, β = 96.99° and γ = 90.00°. The asymmetric unit holds Nd at (0.000, 0.107, 0.250), Nd at (0.197, 0.377, 0.685), Si at (0.160, 0.035, 0.031), S at (0.066, 0.155, 0.552), S at (0.146, 0.249, 0.147), S at (0.148, 0.094, 0.841), S at (0.216, 0.428, 0.415) and Br at (0.000, 0.498, 0.750).



[9]
Density functional theory data (PBE) for a relaxed TbCeIr2 crystal.

The formation energy comes out at -0.681 eV/atom. The raw total energy is -124.042 eV/cell.

It has space group C2/m (No. 12), with a = 11.764 Å, b = 5.616 Å, c = 5.682 Å, α = 90.00°, β = 107.17° and γ = 90.00°. The asymmetric unit holds Tb at (0.146, 0.000, 0.454), Ce at (0.141, 0.500, 0.925), Ir at (0.096, 0.500, 0.394) and Ir at (0.104, 0.000, 0.930).



[10]
Density functional theory data (PBE) for a relaxed Hf2SnIrPb crystal.

The formation energy comes out at 0.077 eV/atom. The raw total energy is -36.094 eV/cell.

It has space group P4/mmm (No. 123), with a = 5.114 Å, b = 5.114 Å, c = 5.010 Å, α = 90.00°, β = 90.00° and γ = 90.00°. The asymmetric unit holds Hf at (0.000, 0.500, 0.000), Sn at (0.000, 0.000, 0.500), Ir at (0.000, 0.000, 0.000) and Pb at (0.500, 0.500, 0.500).



[11]
Density functional theory data (PBE) for a relaxed Tm12Tl5Cd2 crystal.

The formation energy comes out at -0.075 eV/atom. The raw total energy is -137.472 eV/cell.

It has space group C2/m (No. 12), with a = 16.930 Å, b = 7.229 Å, c = 9.044 Å, α = 90.00°, β = 98.00° and γ = 90.00°. The asymmetric unit holds Tm at (0.009, 0.000, 0.187), Tm at (0.042, 0.500, 0.692), Tm at (0.149, 0.243, 0.005), Tm at (0.159, 0.261, 0.410), Tl at (0.000, 0.500, 0.000), Tl at (0.195, 0.000, 0.729), Tl at (0.229, 0.500, 0.752) and Cd at (0.000, 0.182, 0.500).



[12]
Density functional theory data (PBE) for a relaxed TbSm12Ho3 crystal.

The formation energy comes out at 0.016 eV/atom. The raw total energy is -74.733 eV/cell.

It has space group P4/mmm (No. 123), with a = 5.099 Å, b = 5.099 Å, c = 20.357 Å, α = 90.00°, β = 90.00° and γ = 90.00°. The asymmetric unit holds Tb at (0.000, 0.000, 0.000), Sm at (0.000, 0.500, 0.125), Sm at (0.000, 0.500, 0.375), Sm at (0.500, 0.500, 0.000), Sm at (0.500, 0.500, 0.250), Sm at (0.500, 0.500, 0.500), Ho at (0.000, 0.000, 0.250) and Ho at (0.000, 0.000, 0.500).



[13]
Density functional theory data (PBE) for a relaxed ScFeMo2 crystal.

The formation energy comes out at 0.345 eV/atom. For the energy above the most stable polymorph in this dataset, the calculation gives 0.278 eV per atom. The raw total energy is -35.078 eV/cell.

It has space group P4/mmm (No. 123), with a = 4.421 Å, b = 4.421 Å, c = 3.185 Å, α = 90.00°, β = 90.00° and γ = 90.00°. The asymmetric unit holds Sc at (0.000, 0.000, 0.000), Fe at (0.500, 0.500, 0.000) and Mo at (0.000, 0.500, 0.500).



[14]
Density functional theory data (PBE) for a relaxed Tb2SnGe crystal.

The formation energy comes out at -0.796 eV/atom. The raw total energy is -42.127 eV/cell.

It has space group P2_1/m (No. 11), with a = 6.023 Å, b = 4.122 Å, c = 8.665 Å, α = 90.00°, β = 108.11° and γ = 90.00°. The asymmetric unit holds Tb at (0.191, 0.250, 0.422), Tb at (0.281, 0.750, 0.060), Sn at (0.383, 0.750, 0.707) and Ge at (0.112, 0.250, 0.797).



[15]
Density functional theory data (PBE) for a relaxed La5Nd4Ho2 crystal.

The formation energy comes out at 0.087 eV/atom. For the energy above the most stable polymorph in this dataset, the calculation gives 0.014 eV per atom. The raw total energy is -103.804 eV/cell.

It has space group C2/m (No. 12), with a = 24.655 Å, b = 3.607 Å, c = 8.899 Å, α = 90.00°, β = 94.53° and γ = 90.00°. The asymmetric unit holds La at (0.000, 0.000, 0.000), La at (0.131, 0.500, 0.048), La at (0.182, 0.500, 0.475), Nd at (0.039, 0.500, 0.348), Nd at (0.227, 0.000, 0.825) and Ho at (0.087, 0.000, 0.696).



[16]
Density functional theory data (PBE) for a relaxed BeTl2Te crystal.

For the energy above the most stable polymorph in this dataset, the calculation gives 0.448 eV per atom. The raw total energy is -19.490 eV/cell. As for the uncorrected formation energy: 0.46 eV per atom.

It has space group Cmmm (No. 65), with a = 4.535 Å, b = 4.549 Å, c = 10.095 Å, α = 90.00°, β = 90.00° and γ = 90.00°. The asymmetric unit holds Be at (0.000, 0.000, 0.000), Tl at (0.000, 0.500, 0.192) and Te at (0.000, 0.000, 0.500).



[17]
Density functional theory data (PBE) for a relaxed NiI3Br crystal.

For the energy above the most stable polymorph in this dataset, the calculation gives 0.021 eV per atom. The raw total energy is -48.891 eV/cell. As for the uncorrected formation energy: -0.02 eV per atom.

It has space group Cmcm (No. 63), with a = 10.637 Å, b = 8.542 Å, c = 7.536 Å, α = 90.00°, β = 90.00° and γ = 90.00°. The asymmetric unit holds Ni at (0.000, 0.008, 0.250), I at (0.000, 0.340, 0.250), I at (0.160, 0.000, 0.000) and Br at (0.000, 0.343, 0.750).



[18]
Density functional theory data (PBE) for a relaxed K6Na2Hg crystal.

The formation energy comes out at -0.026 eV/atom. The raw total energy is -39.023 eV/cell.

It has space group Immm (No. 71), with a = 11.856 Å, b = 12.772 Å, c = 13.092 Å, α = 90.00°, β = 90.00° and γ = 90.00°. The asymmetric unit holds K at (0.000, 0.172, 0.248), K at (0.171, 0.500, 0.245), K at (0.231, 0.311, 0.500), Na at (0.000, 0.367, 0.000), Na at (0.148, 0.000, 0.500), Hg at (0.000, 0.000, 0.000) and Hg at (0.000, 0.500, 0.500).